Here is a geometry-optimized Pr2Nd3ScTe6 structure from Alexandria via LeMat-Bulk. Energies are from PBE.

## Properties
total magnetization	0.00	μB/cell
energy relative to the elements, uncorrected	-1.36	eV/atom
space-group type	C2/m (12)

a b c (Å): 4.433 8.962 9.965
angles (deg): 102.45 102.85 90.00
Element x y z (fractional)
Pr  0.831  0.665  0.662
Pr  0.169  0.335  0.338
Nd  0.500  0.500  0.000
Nd  0.824  0.162  0.648
Nd  0.176  0.838  0.352
Sc  0.500  0.000  0.000
Te  0.345  0.924  0.689
Te  0.664  0.585  0.329
Te  0.655  0.076  0.311
Te  0.997  0.231  0.993
Te  0.003  0.769  0.007
Te  0.336  0.415  0.671